Record 1
A plane-wave DFT calculation with PBE was carried out for a relaxed BeFeP crystal.

Unit cell a=7.2815 b=3.3942 c=4.8802 alpha=90.00 beta=97.54 gamma=90.00
Last column: nearest neighbours and their distance in Å.
Space group Cm (No. 8)
One atom of each set of equivalent atoms:
Be  0.0000  0.0000  0.0000  3 Be 2.26-2.39, 4 P 2.29-2.35, 4 Fe 2.36-2.43
Be  0.1934  0.5000  0.8441  4 P 2.20-2.34, 3 Be 2.26-2.39, 2 Fe 2.35
Fe  0.0699  0.0000  0.5405  5 P 2.22-2.41, 3 Be 2.35-2.36
Fe  0.3178  0.0000  0.1975  4 P 2.23-2.43, 3 Be 2.39-2.43
P  0.1325  0.5000  0.2740  3 Be 2.20-2.29, 5 Fe 2.22-2.27
P  0.3739  0.0000  0.7004  5 Fe 2.25-2.51, 5 Be 2.31-2.35

Output
* density of states at the Fermi level: 1.35 states/eV/f.u.
* E above lowest polymorph: 0.163 eV/atom
* energy of formation from the pure elements: -239 meV/atom


Record 2
A plane-wave DFT calculation with PBE was carried out for a relaxed SiAg2P crystal.

Unit cell a=2.9517 b=4.0872 c=5.6323 alpha=90.00 beta=90.00 gamma=90.00
Last column: nearest neighbours and their distance in Å.
Space group Pmmm (No. 47)
One atom of each set of equivalent atoms:
Si  0.0000  0.0000  0.0000  2 P 2.82, 8 Ag 2.88, 2 Si 2.95
Ag  0.5000  0.5000  0.2478  4 Ag 2.79-2.95, 4 Si 2.88, 4 P 2.89
P  0.0000  0.0000  0.5000  2 Si 2.82, 8 Ag 2.89, 2 P 2.95

Output
* formation energy without anion corrections: 0.4090 eV per atom
* density of states at the Fermi level: 1.06 states/eV/f.u.
* E above lowest polymorph: 0.247 eV/atom


Record 3
A plane-wave DFT calculation with PBE was carried out for a relaxed Th4FeCS2 crystal.

Unit cell a=6.9216 b=3.8574 c=7.1811 alpha=90.00 beta=108.97 gamma=90.00
Last column: nearest neighbours and their distance in Å.
Space group P2/m (No. 10)
One atom of each set of equivalent atoms:
Th  0.2267  0.0000  0.2186  2 C 2.65, 1 Fe 2.82, 1 S 2.93
Th  0.2607  0.5000  0.7848  2 Fe 2.68, 1 C 2.73, 2 S 2.96
Fe  0.5000  0.0000  0.0000  6 Th 2.68-2.82
C  0.0000  0.5000  0.0000  6 Th 2.65-2.73
S  0.0000  0.0000  0.5000  6 Th 2.93-2.96
S  0.5000  0.5000  0.5000  6 Th 2.98-3.02

Output
* formation energy without anion corrections: -0.9793 eV per atom
* density of states at the Fermi level: 6.53 states/eV/f.u.


Record 4
A plane-wave DFT calculation with PBE was carried out for a relaxed CrSnIN2 crystal.

Unit cell a=4.0185 b=4.0185 c=5.3311 alpha=90.00 beta=90.00 gamma=90.00
Last column: nearest neighbours and their distance in Å.
Space group P4/mmm (No. 123)
One atom of each set of equivalent atoms:
Cr  0.0000  0.0000  0.0000  4 N 2.01
Sn  0.5000  0.5000  0.5000  4 I 2.84
I  0.0000  0.0000  0.5000  2 Cr 2.67, 4 Sn 2.84
N  0.0000  0.5000  0.0000  2 Cr 2.01

Output
* formation energy without anion corrections: 0.9615 eV per atom
* density of states at the Fermi level: 3.04 states/eV/f.u.
* E above lowest polymorph: 0.000 eV/atom